{"formula": "HRhF3", "functional": "PBE", "state": "optimized geometry", "lattice_angstrom": [[-0.814, 0.528, -3.929], [-3.919, -0.710, 0.717], [-0.596, 3.949, 0.655]], "species": ["F", "F", "F", "Rh", "H"], "fractional_positions": [[0.000, 0.000, 0.500], [0.000, 0.500, 0.000], [0.500, 0.000, 0.000], [0.000, 0.000, 0.000], [0.500, 0.500, 0.500]], "total_energy_ev_per_atom": -3.877, "e_above_lowest_polymorph_kj_per_mol_atoms": 0.00, "m_tot_mub_per_fu": 1.9, "spacegroup": "No. 221"}



{"formula": "H2RhF6", "functional": "PBE", "state": "optimized geometry", "lattice_angstrom": [[5.126, -0.300, -0.291], [1.136, 6.606, 0.249], [1.136, 0.463, 6.594]], "species": ["F", "F", "F", "F", "F", "F", "F", "F", "F", "F", "F", "F", "H", "H", "H", "H", "Rh", "Rh"], "fractional_positions": [[0.630, 0.651, 0.121], [0.364, 0.693, 0.582], [0.636, 0.307, 0.418], [0.887, 0.182, 0.026], [0.370, 0.349, 0.879], [0.387, 0.026, 0.182], [0.870, 0.879, 0.349], [0.130, 0.121, 0.651], [0.113, 0.818, 0.974], [0.613, 0.974, 0.818], [0.864, 0.582, 0.693], [0.136, 0.418, 0.307], [0.691, 0.618, 0.652], [0.809, 0.348, 0.382], [0.309, 0.382, 0.348], [0.191, 0.652, 0.618], [0.250, 0.093, 0.907], [0.750, 0.907, 0.093]], "total_energy_ev_per_atom": -4.252, "m_tot_mub_per_fu": 1.0, "spacegroup": "No. 15"}



{"formula": "HRhF3", "functional": "PBE", "state": "optimized geometry", "lattice_angstrom": [[-1.178, 0.118, 3.357], [2.353, -2.510, 0.914], [2.397, 2.521, 0.753]], "species": ["F", "F", "F", "H", "Rh"], "fractional_positions": [[0.000, 0.000, 0.500], [0.000, 0.500, 0.000], [0.500, 0.000, 0.000], [0.000, 0.000, 0.000], [0.500, 0.500, 0.500]], "total_energy_ev_per_atom": -3.710, "e_above_lowest_polymorph_kj_per_mol_atoms": 16.13, "m_tot_mub_per_fu": 3.0, "spacegroup": "No. 221"}



{"formula": "HRh2F", "functional": "PBE", "state": "optimized geometry", "lattice_angstrom": [[0.000, 2.808, 2.808], [2.808, 0.000, 2.808], [2.808, 2.808, 0.000]], "species": ["H", "Rh", "Rh", "F"], "fractional_positions": [[0.000, 0.000, 0.000], [0.750, 0.750, 0.750], [0.250, 0.250, 0.250], [0.500, 0.500, 0.500]], "total_energy_ev_per_atom": -4.477, "e_above_lowest_polymorph_kj_per_mol_atoms": 46.57, "m_tot_mub_per_fu": 2.5, "spacegroup": "No. 225"}



{"formula": "HRhF", "functional": "PBE", "state": "optimized geometry", "lattice_angstrom": [[2.866, 0.013, 0.157], [0.014, 5.451, -0.552], [-0.654, -1.071, 4.620]], "species": ["Rh", "Rh", "H", "H", "F", "F"], "fractional_positions": [[0.248, 0.194, 0.487], [0.752, 0.806, 0.513], [0.785, 0.132, 0.714], [0.215, 0.868, 0.286], [0.716, 0.378, 0.265], [0.284, 0.622, 0.735]], "total_energy_ev_per_atom": -4.622, "m_tot_mub_per_fu": 1.0, "spacegroup": "No. 2"}



{"formula": "HRhF6", "functional": "PBE", "state": "optimized geometry", "lattice_angstrom": [[-4.599, 1.767, -1.096], [1.913, -4.036, -2.349], [-2.842, -3.631, 2.046]], "species": ["F", "F", "F", "F", "F", "F", "H", "Rh"], "fractional_positions": [[0.264, 0.567, 0.279], [0.433, 0.736, 0.721], [0.567, 0.264, 0.279], [0.736, 0.433, 0.721], [0.914, 0.914, 0.245], [0.086, 0.086, 0.755], [0.000, 0.000, 0.000], [0.500, 0.500, 0.500]], "total_energy_ev_per_atom": -4.104, "m_tot_mub_per_fu": 2.0, "spacegroup": "No. 12"}



{"formula": "H2RhF", "functional": "PBE", "state": "optimized geometry", "lattice_angstrom": [[4.498, 0.000, 0.000], [0.000, 4.498, 0.000], [2.249, 2.249, 3.399]], "species": ["H", "H", "H", "H", "F", "F", "Rh", "Rh"], "fractional_positions": [[0.085, 0.625, 0.250], [0.375, 0.335, 0.750], [0.665, 0.125, 0.250], [0.875, 0.915, 0.750], [0.250, 0.750, 0.500], [0.500, 0.500, 0.000], [0.750, 0.250, 0.500], [0.000, 0.000, 0.000]], "total_energy_ev_per_atom": -3.992, "e_above_lowest_polymorph_kj_per_mol_atoms": 0.00, "m_tot_mub_per_fu": 0.3, "spacegroup": "No. 122"}



{"formula": "H2RhF", "functional": "PBE", "state": "optimized geometry", "lattice_angstrom": [[0.000, 2.466, 2.466], [2.466, 0.000, 2.466], [2.466, 2.466, 0.000]], "species": ["F", "H", "H", "Rh"], "fractional_positions": [[0.000, 0.000, 0.000], [0.250, 0.250, 0.250], [0.750, 0.750, 0.750], [0.500, 0.500, 0.500]], "total_energy_ev_per_atom": -3.677, "e_above_lowest_polymorph_kj_per_mol_atoms": 30.41, "m_tot_mub_per_fu": 1.0, "spacegroup": "No. 225"}



{"formula": "HRh3F", "functional": "PBE", "state": "optimized geometry", "lattice_angstrom": [[-3.853, -0.384, -0.490], [0.587, -3.270, -2.048], [-0.209, -2.095, 3.286]], "species": ["Rh", "Rh", "Rh", "H", "F"], "fractional_positions": [[0.000, 0.500, 0.000], [0.500, 0.000, 0.000], [0.000, 0.000, 0.500], [0.000, 0.000, 0.000], [0.500, 0.500, 0.500]], "total_energy_ev_per_atom": -5.119, "e_above_lowest_polymorph_kj_per_mol_atoms": 0.00, "m_tot_mub_per_fu": 2.5, "spacegroup": "No. 221"}



{"formula": "HRh2F", "functional": "PBE", "state": "optimized geometry", "lattice_angstrom": [[4.733, 0.000, 0.000], [0.000, 4.733, 0.000], [2.367, 2.367, 4.224]], "species": ["F", "F", "H", "H", "Rh", "Rh", "Rh", "Rh"], "fractional_positions": [[0.750, 0.250, 0.500], [0.000, 0.000, 0.000], [0.250, 0.750, 0.500], [0.500, 0.500, 0.000], [0.875, 0.785, 0.750], [0.375, 0.465, 0.750], [0.215, 0.625, 0.250], [0.535, 0.125, 0.250]], "total_energy_ev_per_atom": -4.959, "e_above_lowest_polymorph_kj_per_mol_atoms": 0.00, "m_tot_mub_per_fu": 1.9, "spacegroup": "No. 122"}



{"formula": "HRh2SF", "functional": "PBE", "state": "optimized geometry", "lattice_angstrom": [[-3.412, 2.818, 1.080], [0.057, -1.048, 2.915], [3.017, 3.230, 1.102]], "species": ["Rh", "Rh", "S", "F", "H"], "fractional_positions": [[0.500, 0.000, 0.000], [0.000, 0.000, 0.500], [0.000, 0.000, 0.000], [0.500, 0.500, 0.500], [0.000, 0.500, 0.000]], "total_energy_ev_per_atom": -4.618, "m_tot_mub_per_fu": 1.4, "spacegroup": "No. 123"}



{"formula": "SrH2RhF8", "functional": "PBE", "state": "optimized geometry", "lattice_angstrom": [[5.032, 1.023, 0.279], [1.091, 5.024, 0.257], [0.448, 0.461, 7.039]], "species": ["H", "H", "F", "F", "F", "F", "F", "F", "F", "F", "Rh", "Sr"], "fractional_positions": [[0.272, 0.268, 0.733], [0.728, 0.732, 0.267], [0.758, 0.224, 0.797], [0.770, 0.775, 0.072], [0.285, 0.281, 0.587], [0.715, 0.719, 0.413], [0.221, 0.756, 0.797], [0.779, 0.244, 0.203], [0.242, 0.776, 0.203], [0.230, 0.225, 0.928], [0.000, 0.000, 0.000], [0.000, 0.000, 0.500]], "total_energy_ev_per_atom": -4.670, "m_tot_mub_per_fu": 1.0, "spacegroup": "No. 2"}



Q: Which formula does entry 4 have?
A: HRh2F



Q: What is the formula in the eighth record?
A: H2RhF